Record 1
First-principles (PBE) data for an optimized crystal structure of SrRh3, as listed in the Alexandria database.

## Properties
E_form, eV/atom: 0.27
Crystal system: tetragonal

Cell and atoms, written as POSCAR:
```
SrRh3
1.0
-2.096 2.096 4.048
2.096 -2.096 4.048
2.096 2.096 -4.048
Sr Rh
1 3
Direct
0.000 0.000 0.000
0.250 0.750 0.500
0.500 0.500 0.000
0.750 0.250 0.500
```



Record 2
First-principles (PBE) data for an optimized crystal structure of LaCe2PmIn4, as listed in the Alexandria database.

## Properties
E_form, eV/atom: -0.40
Crystal system: trigonal

Cell and atoms, written as POSCAR:
```
LaCe2PmIn4
1.0
2.747 1.586 8.981
-2.747 1.586 8.981
0.000 -3.172 8.981
La Ce Pm In
1 2 1 4
Direct
0.000 0.000 0.000
0.250 0.250 0.250
0.750 0.750 0.750
0.500 0.500 0.500
0.126 0.126 0.126
0.376 0.376 0.376
0.624 0.624 0.624
0.874 0.874 0.874
```



Record 3
First-principles (PBE) data for an optimized crystal structure of Ti2ReMo, as listed in the Alexandria database.

## Properties
E_form, eV/atom: -0.22
Crystal system: monoclinic

Cell and atoms, written as POSCAR:
```
Ti2ReMo
1.0
2.788 0.000 0.000
0.000 4.474 0.000
-1.095 0.000 5.020
Ti Re Mo
2 1 1
Direct
0.000 0.000 0.000
0.282 0.500 0.750
0.526 0.000 0.499
0.751 0.500 0.258
```